Material: NaTmSn2Se4
Method: DFT, PBE
State: relaxed

Structure (POSCAR):
```
NaTmSn2Se4
1.0
7.2654 0.0000 0.0000
0.0000 4.1984 0.0000
-2.3226 0.0000 6.9743
Na Tm Sn Se
1 1 2 4
Cartesian
0.0000 0.0000 0.0000 Na
3.6327 2.0992 0.0000 Tm
-1.1613 2.0992 3.4872 Sn
2.4714 0.0000 3.4872 Sn
1.3367 2.0992 1.6766 Se
0.1462 0.0000 5.3553 Se
4.7966 0.0000 1.6191 Se
3.6061 2.0992 5.2978 Se
```

Results
Size of the total moment = 0.000 μB per cell
Electronic total energy = -35.65 eV/f.u.
Formation energy from raw total energies = -0.99 eV/atom

Material: NaTm2Sn3Se6
Method: DFT, PBE
State: relaxed

Structure (POSCAR):
```
NaTm2Sn3Se6
1.0
9.1987 -2.0148 0.0000
9.1987 2.0148 0.0000
-2.1462 0.0000 8.8130
Na Tm Sn Se
1 2 3 6
Cartesian
0.0000 0.0000 0.0000 Na
4.6982 0.0000 5.8920 Tm
11.5530 0.0000 2.9210 Tm
-1.0731 0.0000 4.4065 Sn
5.9089 0.0000 1.4580 Sn
10.3424 0.0000 7.3550 Sn
1.9394 0.0000 4.8999 Se
3.0036 0.0000 1.0305 Se
7.4053 0.0000 6.5335 Se
8.8460 0.0000 2.2795 Se
13.2477 0.0000 7.7825 Se
14.3119 0.0000 3.9131 Se
```

Results
Size of the total moment = 0.000 μB per cell
Electronic total energy = -55.13 eV/f.u.
Formation energy from raw total energies = -1.00 eV/atom

Material: Na3Tm2SnSe6
Method: DFT, PBE
State: relaxed

Structure (POSCAR):
```
Na3Tm2SnSe6
1.0
3.5682 -6.1796 0.0000
3.5682 6.1796 0.0000
-2.3868 0.0000 6.9934
Na Tm Sn Se
3 2 1 6
Cartesian
0.0000 0.0000 0.0000 Na
3.5682 2.0177 0.0000 Na
3.5682 -2.0177 0.0000 Na
2.3748 4.1155 3.4967 Tm
2.3748 -4.1155 3.4967 Tm
2.3748 0.0000 3.4967 Sn
1.1713 2.0816 1.9065 Se
-0.0333 0.0000 5.0818 Se
1.1713 -2.0816 1.9065 Se
3.5783 2.0816 5.0869 Se
4.7828 0.0000 1.9116 Se
3.5783 -2.0816 5.0869 Se
```

Results
Size of the total moment = 0.000 μB per cell
Electronic total energy = -53.96 eV/f.u.
Formation energy from raw total energies = -1.35 eV/atom

Material: Na2TmSnSe4
Method: DFT, PBE
State: relaxed

Structure (POSCAR):
```
Na2TmSnSe4
1.0
7.1834 0.0000 0.0000
0.0000 4.0822 0.0000
-2.3563 0.0000 7.0237
Na Tm Sn Se
2 1 1 4
Cartesian
0.0000 0.0000 0.0000 Na
3.5917 2.0411 0.0000 Na
-1.1782 2.0411 3.5118 Tm
2.4136 0.0000 3.5118 Sn
0.0131 0.0000 5.0986 Se
1.1732 2.0411 1.9045 Se
3.6539 2.0411 5.1191 Se
4.8140 0.0000 1.9250 Se
```

Results
Size of the total moment = 0.000 μB per cell
Electronic total energy = -34.53 eV/f.u.
Formation energy from raw total energies = -1.19 eV/atom

Material: Na2TmSn3Se6
Method: DFT, PBE
State: relaxed

Structure (POSCAR):
```
Na2TmSn3Se6
1.0
3.6480 -6.3258 0.0000
3.6480 6.3258 0.0000
-2.4349 0.0000 6.9124
Na Tm Sn Se
2 1 3 6
Cartesian
3.6480 4.2045 0.0000 Na
3.6480 -4.2045 0.0000 Na
3.6480 0.0000 0.0000 Tm
-1.2175 0.0000 3.4562 Sn
2.4306 2.0621 3.4562 Sn
2.4306 -2.0621 3.4562 Sn
0.0539 1.9620 5.2416 Se
1.3481 0.0000 1.7477 Se
0.0539 -1.9620 5.2416 Se
4.8073 1.9620 1.6707 Se
3.5131 0.0000 5.1647 Se
4.8073 -1.9620 1.6707 Se
```

Results
Size of the total moment = 0.000 μB per cell
Electronic total energy = -50.86 eV/f.u.
Formation energy from raw total energies = -0.90 eV/atom

Material: Na3USn3Se8
Method: DFT, PBE
State: relaxed

Structure (POSCAR):
```
Na3USn3Se8
1.0
4.1975 2.4234 7.0517
-4.1975 2.4234 7.0517
0.0000 -4.8469 7.0517
Na U Sn Se
3 1 3 8
Cartesian
-2.0988 -1.2117 7.0517 Na
-2.0987 1.2117 14.1034 Na
0.0000 2.4234 7.0517 Na
0.0000 0.0000 10.5775 U
-4.1975 0.0000 10.5775 Sn
-2.0987 1.2117 3.5258 Sn
2.0988 1.2117 3.5258 Sn
0.0000 0.0000 5.2363 Se
-1.9551 -1.1288 12.1115 Se
0.0000 -2.2576 9.0436 Se
-1.9551 1.1288 9.0436 Se
1.9552 -1.1288 12.1115 Se
0.0000 2.2576 12.1115 Se
1.9552 1.1288 9.0436 Se
0.0000 0.0000 15.9187 Se
```

Results
Size of the total moment = 0.001 μB per cell
Electronic total energy = -67.17 eV/f.u.
Formation energy from raw total energies = -0.80 eV/atom